# 1
Below is a geometry-optimized Ca2Ta2Cd structure, with properties calculated at the PBE level.

Computed properties:
calculated formation energy = 1075.1 meV per atom
total DFT energy (no corrections) = -4.650 eV/atom
mass density = 7.1 Mg/m³
M_tot = 0.0 Bohr magnetons per cell
offset from the most stable computed form = 156 kJ/mol of formula units
space group = I4/mmm

Unit cell a=7.8212 b=7.8212 c=7.8212 alpha=148.47 beta=148.47 gamma=45.20
Element x y z (fractional)
Ca 0.2500 0.7500 0.5000
Ca 0.7500 0.2500 0.5000
Ta 0.0787 0.0787 0.0000
Ta 0.9213 0.9213 0.0000
Cd 0.5000 0.5000 0.0000

=====

# 2
Below is a geometry-optimized CaTaCd structure, with properties calculated at the PBE level.

Computed properties:
calculated formation energy = 479.3 meV per atom
total DFT energy (no corrections) = -4.444 eV/atom
mass density = 8.1 Mg/m³
M_tot = 0.4 Bohr magnetons per cell
offset from the most stable computed form = 21 kJ/mol of formula units
space group = P3m1

Unit cell a=3.1407 b=3.1407 c=8.0343 alpha=90.00 beta=90.00 gamma=120.00
Element x y z (fractional)
Ca 0.0000 0.0000 0.0000
Ta 0.6667 0.3333 0.6655
Cd 0.3333 0.6667 0.3542

=====

# 3
Below is a geometry-optimized CaTaCd structure, with properties calculated at the PBE level.

Computed properties:
calculated formation energy = 407.6 meV per atom
total DFT energy (no corrections) = -4.515 eV/atom
mass density = 8.1 Mg/m³
M_tot = 0.0 Bohr magnetons per cell
offset from the most stable computed form = 0 kJ/mol of formula units
space group = I4mm

Unit cell a=7.4061 b=7.4061 c=7.4061 alpha=155.74 beta=155.74 gamma=34.58
Element x y z (fractional)
Ca 0.0000 0.0000 0.0000
Ta 0.6741 0.6741 0.0000
Cd 0.3220 0.3220 0.0000

=====

- Which of these has the highest total DFT energy (no corrections)?
  number 2